[1]
{"formula": "LiZrRe", "functional": "PBE", "state": "relaxed", "cell": [[4.877, -0.010, 0.000], [2.511, 4.181, 0.000], [-3.694, -2.086, 2.406]], "species": ["Zr", "Re", "Li"], "fractional_positions": [[0.672, 0.672, 0.000], [0.338, 0.338, 0.000], [0.990, 0.990, 0.000]], "delta_e_f_ev_per_atom": 0.21, "de_polymorph_mev_per_atom": 48, "dos_ef_per_ev_cell": 0.87}

---

[2]
{"formula": "LiZrRe", "functional": "PBE", "state": "relaxed", "cell": [[-0.105, 0.909, -2.595], [1.160, -2.494, -0.038], [-7.102, -2.238, 0.574]], "species": ["Zr", "Re", "Li"], "fractional_positions": [[0.452, 0.914, 0.658], [0.109, 0.567, 0.977], [0.763, 0.218, 0.277]], "delta_e_f_ev_per_atom": 0.26, "de_polymorph_mev_per_atom": 95, "dos_ef_per_ev_cell": 1.99}

---

[3]
{"formula": "LiZrRe", "functional": "PBE", "state": "relaxed", "cell": [[-2.862, 0.678, -2.950], [-2.578, -3.065, -1.145], [-4.036, 0.185, 1.016]], "species": ["Re", "Zr", "Li"], "fractional_positions": [[0.000, 0.000, 0.000], [0.500, 0.500, 0.500], [0.250, 0.250, 0.250]], "delta_e_f_ev_per_atom": 0.83, "de_polymorph_mev_per_atom": 666, "dos_ef_per_ev_cell": 2.72}

---

[4]
{"formula": "LiZr2Re", "functional": "PBE", "state": "relaxed", "cell": [[-1.694, 3.501, -2.376], [-3.266, 3.171, 0.218], [3.439, 4.361, 2.639]], "species": ["Li", "Re", "Zr", "Zr"], "fractional_positions": [[0.750, 0.750, 0.750], [0.250, 0.250, 0.250], [0.988, 0.988, 0.027], [0.512, 0.512, 0.473]], "delta_e_f_ev_per_atom": 0.23, "de_polymorph_mev_per_atom": 375, "dos_ef_per_ev_cell": 2.76}

---

[5]
{"formula": "Li2ZrRe", "functional": "PBE", "state": "relaxed", "cell": [[5.438, 0.013, 0.000], [-2.820, 4.650, 0.000], [0.000, 0.000, 2.658]], "species": ["Zr", "Li", "Li", "Re"], "fractional_positions": [[0.000, 0.500, 0.500], [0.000, 0.000, 0.000], [0.500, 0.500, 0.000], [0.500, 0.000, 0.500]], "delta_e_f_ev_per_atom": 0.43, "de_polymorph_mev_per_atom": 240, "dos_ef_per_ev_cell": 5.54}

---

[6]
{"formula": "Li2ZrRe", "functional": "PBE", "state": "relaxed", "cell": [[3.428, 0.000, 0.000], [0.000, 3.428, 0.000], [0.000, 0.000, 5.316]], "species": ["Li", "Re", "Li", "Zr"], "fractional_positions": [[0.000, 0.000, 0.039], [0.500, 0.500, 0.250], [0.000, 0.000, 0.461], [0.500, 0.500, 0.750]], "delta_e_f_ev_per_atom": 0.54, "de_polymorph_mev_per_atom": 350, "dos_ef_per_ev_cell": 2.87}

---

[7]
{"formula": "LiZr2Re", "functional": "PBE", "state": "relaxed", "cell": [[4.266, 0.000, 0.000], [0.000, 2.901, 0.008], [0.000, 1.776, 6.185]], "species": ["Re", "Li", "Zr", "Zr"], "fractional_positions": [[0.500, 0.750, 0.750], [0.500, 0.250, 0.250], [0.000, 0.920, 0.981], [0.000, 0.580, 0.519]], "delta_e_f_ev_per_atom": 0.11, "de_polymorph_mev_per_atom": 257, "dos_ef_per_ev_cell": 3.72}

---

[8]
{"formula": "LiZr2Re", "functional": "PBE", "state": "relaxed", "cell": [[-1.019, -2.588, -10.485], [1.441, -4.027, -9.969], [-1.111, -5.277, -9.412]], "species": ["Zr", "Li", "Re", "Zr"], "fractional_positions": [[0.005, 0.005, 0.005], [0.250, 0.250, 0.250], [0.750, 0.750, 0.750], [0.495, 0.495, 0.495]], "delta_e_f_ev_per_atom": 0.31, "de_polymorph_mev_per_atom": 453, "dos_ef_per_ev_cell": 3.78}

---

no.,total DFT energy (no corrections) (eV/atom)
1,-7.422
2,-7.375
3,-6.805
4,-7.634
5,-5.775
6,-5.665
7,-7.751
8,-7.555